! LaSmGd, optimized geometry, DFT PBE; values from VASP
! - offset from the most stable computed form (meV per atom) = 0
! - E_form (eV per atom) = 0.018
&SYSTEM
  ibrav = 0, nat = 3, ntyp = 3
/
ATOMIC_SPECIES
Gd 157.25 Gd.upf
Sm 150.36 Sm.upf
La 138.91 La.upf
CELL_PARAMETERS angstrom
3.661 0.000 0.000
-1.831 3.171 0.000
0.000 0.000 8.903
ATOMIC_POSITIONS angstrom
Gd 0.000 2.114 5.963
Sm 0.000 0.000 8.869
La 1.831 1.057 2.974